{
  "formula": "NaCaEr2Se4",
  "functional": "PBE-GGA",
  "state": "optimized geometry",
  "lattice_angstrom": [[7.074, 0.000, 0.000], [0.000, 4.086, 0.000], [-2.348, 0.000, 6.868]],
  "species": ["Na", "Ca", "Er", "Er", "Se", "Se", "Se", "Se"],
  "fractional_positions": [[0.000, 0.000, 0.000], [0.500, 0.500, 0.000], [0.000, 0.500, 0.500], [0.500, 0.000, 0.500], [0.247, 0.000, 0.740], [0.256, 0.500, 0.264], [0.744, 0.500, 0.736], [0.753, 0.000, 0.260]],
  "total_energy_ev_per_cell": -40.64,
  "crystal_system": "monoclinic",
  "magmom_total_mub_per_cell": 0.0,
  "space_group": "No. 10",
  "n_ef_per_ev_atom": 0.32
}